A relaxed structure of Rb2MnSeO4, computed with PBE with a Hubbard U.

Computed properties:
SG: Fddd, No. 70
mass density: 3.1 g/cm3
V: 396 Å³ per cell
calculated total energy: -5.166 eV/atom

abc: 5.799 7.427 10.403
angles: 83.75 73.82 67.02
Each line ends with the local moment (μB).
Positions (direct):
Rb1 0.928 0.500 0.144  0.01
Rb2 0.572 0.500 0.856  0.01
Rb3 0.822 0.000 0.356  0.01
Rb4 0.178 0.000 0.644  0.01
O1 0.654 0.191 0.027  0.08
O2 0.431 0.691 0.473  0.08
O3 0.155 0.191 0.973  0.08
O4 0.595 0.309 0.527  0.08
O5 0.872 0.809 0.973  0.08
O6 0.319 0.809 0.027  0.08
O7 0.096 0.309 0.473  0.08
O8 0.878 0.691 0.527  0.08
Mn1 0.000 0.000 0.000  3.79
Mn2 0.750 0.500 0.500  3.79
Se1 0.250 0.500 0.500  0.39
Se2 0.500 0.000 0.000  0.39